Run one
Here is a relaxed InGaBr crystal from Alexandria. Energies are from PBE.

Summary:
- ρ: 4.486 Mg/m³
- Calculated volume: 32.632 Å³ per atom

Cell lengths 7.1813, 7.1813, 7.6825 Å; angles 101.60, 101.60, 30.35 degrees
Element x y z (fractional)
In  0.0000  0.0000  0.0000
In  0.6872  0.6872  0.0780
Ga  0.3468  0.3468  0.0501
Ga  0.4622  0.4622  0.3685
Br  0.6487  0.6487  0.4424
Br  0.9376  0.9376  0.6062

Run two
Here is a relaxed InGaBr crystal from Alexandria. Energies are from PBE.

Summary:
- ρ: 4.838 Mg/m³
- Calculated volume: 30.253 Å³ per atom

Cell lengths 4.6921, 6.2284, 6.8751 Å; angles 78.15, 89.98, 67.89 degrees
Element x y z (fractional)
In  0.0000  0.0000  0.0000
In  0.4512  0.0978  0.2585
Ga  0.4401  0.0912  0.7249
Ga  0.9833  0.0050  0.5335
Br  0.0544  0.5481  0.6301
Br  0.5027  0.5490  0.1299

Out of the structures above, which one is the least stable? Solution: run one.